Record 1
A geometry-optimized Ti3BMo structure, computed with PBE.

Cell: 4.6587 4.6587 4.6587 Å, 90.00 90.00 90.00°
Closest atoms and distances in Å follow each position.
Space group Pm-3m (No. 221)
Symmetry-distinct sites (fractional):
Ti 0.0000 0.0000 0.5000  2 Mo 2.33
B 0.5000 0.5000 0.5000  12 Ti 3.29
Mo 0.0000 0.0000 0.0000  6 Ti 2.33

## Properties
**Formation energy from the elements**: 1.56 eV/atom
**Total magnetic moment**: 0.91 μB/f.u.
**Distance to the lowest polymorph of the same formula**: 143.9 kJ/mol of atoms

***

Record 2
A geometry-optimized Zr2SbAs structure, computed with PBE.

Cell: 3.9630 3.9630 20.0575 Å, 90.00 90.00 120.00°
Closest atoms and distances in Å follow each position.
Space group R-3m (No. 166, hexagonal axes)
Symmetry-distinct sites (fractional):
Zr 0.0000 0.0000 0.2377  3 As 2.70, 3 Sb 2.99
Sb 0.0000 0.0000 0.0000  6 Zr 2.99
As 0.0000 0.0000 0.5000  6 Zr 2.70

## Properties
**E_form (uncorrected)**: -867 meV per atom
**Total magnetic moment**: 0.00 μB/f.u.

***

Record 3
A geometry-optimized KSbSe structure, computed with PBE.

Cell: 3.8190 5.2683 11.0962 Å, 90.00 90.00 90.00°
Closest atoms and distances in Å follow each position.
Space group Imm2 (No. 44)
Symmetry-distinct sites (fractional):
K 0.0000 0.0000 0.0000  4 Se 3.31, 1 Sb 3.64
Sb 0.0000 0.0000 0.6724  1 Se 2.50
Se 0.0000 0.0000 0.4475  1 Sb 2.50

## Properties
**E_form (uncorrected)**: -329 meV per atom
**Total magnetic moment**: 0.00 μB/f.u.
**Distance to the lowest polymorph of the same formula**: 34.7 kJ/mol of atoms

***

Record 4
A geometry-optimized CsRbHfCl6 structure, computed with PBE.

Cell: 7.9343 7.9343 13.1853 Å, 90.00 90.00 120.00°
Closest atoms and distances in Å follow each position.
Space group P-31c (No. 163)
Symmetry-distinct sites (fractional):
Cs 0.0000 0.0000 0.0000  6 Cl 3.55
Rb 0.3333 0.6667 0.2500  6 Cl 3.32
Hf 0.3333 0.6667 0.7500  6 Cl 2.47
Cl 0.0782 0.4140 0.6418  1 Hf 2.47

## Properties
**E_form (uncorrected)**: -1981 meV per atom
**Total magnetic moment**: 0.00 μB/f.u.

***

Record 5
A geometry-optimized Nd5TmSn3 structure, computed with PBE.

Cell: 9.6088 9.6088 6.7286 Å, 90.00 90.00 120.00°
Closest atoms and distances in Å follow each position.
Space group P6_3/mcm (No. 193)
Symmetry-distinct sites (fractional):
Nd 0.0000 0.3283 0.2500  5 Sn 3.19-3.36
Nd 0.3333 0.6667 0.0000  8 Nd 3.36-3.64, 6 Sn 3.61
Tm 0.0000 0.0000 0.0000  2 Tm 3.36, 6 Nd 3.58, 6 Sn 3.64
Sn 0.0000 0.3355 0.7500  5 Nd 3.19-3.36

## Properties
**Formation energy from the elements**: -0.55 eV/atom
**Total magnetic moment**: 2.38 μB/f.u.

***

Record 6
A geometry-optimized TmFeH6 structure, computed with PBE.

Cell: 4.3239 4.3239 10.5828 Å, 90.00 90.00 120.00°
Closest atoms and distances in Å follow each position.
Space group R-3m (No. 166, hexagonal axes)
Symmetry-distinct sites (fractional):
Tm 0.0000 0.0000 0.0000  12 H 2.37
Fe 0.0000 0.0000 0.5000  6 H 1.56
H 0.0242 0.5121 0.9088  1 Fe 1.56

## Properties
**Total magnetic moment**: 1.00 μB/f.u.
**Total DFT energy (no corrections)**: -4.337 eV/atom

***

Record 7
A geometry-optimized HfInW2 structure, computed with PBE.

Cell: 7.5962 7.5962 5.6141 Å, 90.00 90.00 90.00°
Closest atoms and distances in Å follow each position.
Space group I-42d (No. 122)
Symmetry-distinct sites (fractional):
Hf 0.0000 0.0000 0.0000  4 W 2.80, 2 In 2.81
In 0.0000 0.0000 0.5000  4 W 2.75, 2 Hf 2.81
W 0.2453 0.2500 0.6250  2 In 2.75, 2 Hf 2.80, 2 W 2.81

## Properties
**Formation energy from the elements**: 1.14 eV/atom
**Total magnetic moment**: 0.00 μB/f.u.

***

Record 8
A geometry-optimized YB3Pt structure, computed with PBE.

Cell: 4.1630 4.1630 4.1630 Å, 90.00 90.00 90.00°
Closest atoms and distances in Å follow each position.
Space group Pm-3m (No. 221)
Symmetry-distinct sites (fractional):
Y 0.0000 0.0000 0.0000  12 B 2.94
B 0.0000 0.5000 0.5000  2 Pt 2.08
Pt 0.5000 0.5000 0.5000  6 B 2.08

## Properties
**Formation energy from the elements**: 0.59 eV/atom
**Total magnetic moment**: 0.00 μB/f.u.
**Distance to the lowest polymorph of the same formula**: 0.0 kJ/mol of atoms

***

Record 9
A geometry-optimized CaAlVNi structure, computed with PBE.

Cell: 3.0229 3.0229 7.5636 Å, 90.00 90.00 90.00°
Closest atoms and distances in Å follow each position.
Space group P4mm (No. 99)
Symmetry-distinct sites (fractional):
Ca 0.0000 0.0000 0.0000  4 Ca 3.02, 4 Ni 3.11, 4 Al 3.23
Al 0.5000 0.5000 0.3203  4 V 2.76, 1 Ni 2.89, 4 Al 3.02
V 0.0000 0.0000 0.5519  4 Ni 2.42
Ni 0.5000 0.5000 0.7019  4 V 2.42

## Properties
**Formation energy from the elements**: -0.07 eV/atom
**Total magnetic moment**: 0.00 μB/f.u.
**Distance to the lowest polymorph of the same formula**: 0.0 kJ/mol of atoms

***

Record 10
A geometry-optimized La2TaZn structure, computed with PBE.

Cell: 3.3858 3.3858 31.4539 Å, 90.00 90.00 120.00°
Closest atoms and distances in Å follow each position.
Space group R-3m (No. 166, hexagonal axes)
Symmetry-distinct sites (fractional):
La 0.0000 0.0000 0.2505  3 Ta 3.26, 3 Zn 3.28, 6 La 3.39
Ta 0.0000 0.0000 0.0000  6 La 3.26, 6 Ta 3.39
Zn 0.0000 0.0000 0.5000  6 La 3.28, 6 Zn 3.39

## Properties
**Formation energy from the elements**: 0.40 eV/atom
**Total magnetic moment**: 0.00 μB/f.u.

***

Record 11
A geometry-optimized CuHOsAu2 structure, computed with PBE.

Cell: 5.0510 5.0510 4.7696 Å, 90.00 90.00 90.00°
Closest atoms and distances in Å follow each position.
Space group P4/mmm (No. 123)
Symmetry-distinct sites (fractional):
Cu 0.0000 0.0000 0.0000  2 Os 2.38
H 0.5000 0.5000 0.0000  8 Au 3.47, 4 Cu 3.57
Os 0.0000 0.0000 0.5000  2 Cu 2.38, 4 Au 2.53
Au 0.0000 0.5000 0.5000  2 Os 2.53

## Properties
**Total magnetic moment**: 2.33 μB/f.u.
**Total DFT energy (no corrections)**: -3.325 eV/atom

***

Record 12
A geometry-optimized CaTaSN2 structure, computed with PBE.

Cell: 4.0474 4.0474 5.0684 Å, 90.00 90.00 90.00°
Closest atoms and distances in Å follow each position.
Space group P4/mmm (No. 123)
Symmetry-distinct sites (fractional):
Ca 0.0000 0.0000 0.0000  4 S 2.86
Ta 0.5000 0.5000 0.5000  4 N 2.02
S 0.5000 0.5000 0.0000  2 Ta 2.53
N 0.0000 0.5000 0.5000  2 Ta 2.02

## Properties
**E_form (uncorrected)**: -820 meV per atom
**Total magnetic moment**: 0.40 μB/f.u.
**Distance to the lowest polymorph of the same formula**: 0.0 kJ/mol of atoms

***

Record 13
A geometry-optimized Ce6Cd2FeH structure, computed with PBE.

Cell: 11.9808 7.1787 6.8693 Å, 90.00 124.81 90.00°
Closest atoms and distances in Å follow each position.
Space group C2/m (No. 12)
Symmetry-distinct sites (fractional):
Ce 0.0006 0.2495 0.2111  1 H 2.31
Ce 0.2436 0.0000 0.7418  1 Fe 2.40, 1 H 2.52
Cd 0.2332 0.5000 0.7352  12 Ce 3.44-3.59
Fe 0.0000 0.0000 0.5000  6 Ce 2.40-2.68
H 0.0000 0.5000 0.0000  6 Ce 2.31-2.52

## Properties
**Total magnetic moment**: 1.74 μB/f.u.
**Total DFT energy (no corrections)**: -5.009 eV/atom

***

Record 14
A geometry-optimized HS5F structure, computed with PBE.

Cell: 5.0242 6.2297 6.7188 Å, 81.54 75.17 75.31°
Closest atoms and distances in Å follow each position.
Space group P1 (No. 1)
Symmetry-distinct sites (fractional):
H 0.0000 0.0000 0.0000  1 S 1.36
S 0.1472 0.7902 0.0412  1 H 1.36
S 0.1685 0.4375 0.6464  1 F 1.72, 1 S 1.88
S 0.2645 0.2763 0.4127  1 S 1.88
S 0.8313 0.6976 0.2839  2 S 1.97-2.09
S 0.8691 0.7754 0.5481  1 S 1.97
F 0.9058 0.3395 0.8265  1 S 1.72

## Properties
**Total magnetic moment**: 0.00 μB/f.u.
**Total DFT energy (no corrections)**: -3.937 eV/atom

***

Record 15
A geometry-optimized TbEr2ScP4 structure, computed with PBE.

Cell: 6.8104 3.9376 6.8144 Å, 90.00 109.47 90.00°
Closest atoms and distances in Å follow each position.
Space group P2/m (No. 10)
Symmetry-distinct sites (fractional):
Tb 0.0000 0.0000 0.0000  6 P 2.80
Er 0.0000 0.5000 0.5000  6 P 2.83
Er 0.5000 0.0000 0.5000  6 P 2.77
Sc 0.5000 0.5000 0.0000  6 P 2.74
P 0.2566 0.5000 0.2485  1 Sc 2.74, 3 Er 2.77-2.83, 2 Tb 2.80
P 0.2594 0.0000 0.7568  2 Sc 2.74, 3 Er 2.77-2.83, 1 Tb 2.80

## Properties
**Formation energy from the elements**: -1.56 eV/atom
**Total magnetic moment**: 0.00 μB/f.u.

***

Record 16
A geometry-optimized AcTb3PmHo structure, computed with PBE.

Cell: 20.2799 5.7112 7.3037 Å, 90.00 90.04 90.00°
Closest atoms and distances in Å follow each position.
Space group C2/m (No. 12)
Symmetry-distinct sites (fractional):
Ac 0.1424 0.0000 0.4760  1 Ho 3.24, 2 Tb 3.33-3.43
Tb 0.0207 0.0000 0.7821  1 Ho 3.24, 2 Pm 3.25, 1 Tb 3.29, 1 Ac 3.33
Tb 0.1680 0.5000 0.7808  2 Ho 3.42, 3 Tb 3.60-3.67, 2 Ac 3.66
Tb 0.2190 0.5000 0.2537  1 Pm 3.33, 3 Ho 3.35-3.54, 3 Ac 3.43-3.63, 3 Tb 3.60-3.67
Pm 0.0557 0.5000 0.2049  3 Tb 3.25-3.33
Ho 0.1526 0.0000 0.0338  1 Ac 3.24, 6 Tb 3.24-3.54

## Properties
**Formation energy from the elements**: 0.23 eV/atom
**Total magnetic moment**: 0.00 μB/f.u.

***

Record 17
A geometry-optimized Tl2CrNi structure, computed with PBE.

Cell: 4.0589 4.0589 9.3638 Å, 90.00 90.00 90.00°
Closest atoms and distances in Å follow each position.
Space group I-4m2 (No. 119)
Symmetry-distinct sites (fractional):
Tl 0.0000 0.0000 0.0000  4 Ni 2.87, 4 Cr 3.10, 4 Tl 3.10
Tl 0.0000 0.5000 0.2500  4 Cr 2.87, 4 Tl 3.10, 4 Ni 3.10
Cr 0.0000 0.5000 0.7500  8 Tl 2.87-3.10, 4 Ni 3.10
Ni 0.0000 0.0000 0.5000  8 Tl 2.87-3.10, 4 Cr 3.10

## Properties
**Formation energy from the elements**: 0.55 eV/atom
**Total magnetic moment**: 4.06 μB/f.u.
**Distance to the lowest polymorph of the same formula**: 12.9 kJ/mol of atoms

***

Record 18
A geometry-optimized ThGa2Ir2 structure, computed with PBE.

Cell: 4.2410 4.2410 21.0938 Å, 90.00 90.00 90.00°
Closest atoms and distances in Å follow each position.
Space group I4/mmm (No. 139)
Symmetry-distinct sites (fractional):
Th 0.0000 0.0000 0.1330  8 Ga 3.20-3.52, 8 Ir 3.25-3.29
Ga 0.0000 0.0000 0.3142  5 Ir 2.47-2.52
Ga 0.0000 0.5000 0.0000  4 Ir 2.57
Ir 0.0000 0.0000 0.4311  5 Ga 2.47-2.57
Ir 0.0000 0.5000 0.2500  4 Ga 2.52

## Properties
**Formation energy from the elements**: -0.74 eV/atom
**Total magnetic moment**: 0.00 μB/f.u.

***

Record 19
A geometry-optimized BeSn4 structure, computed with PBE.

Cell: 5.0138 5.0138 5.0138 Å, 90.00 90.00 90.00°
Closest atoms and distances in Å follow each position.
Space group Pm-3m (No. 221)
Symmetry-distinct sites (fractional):
Be 0.0000 0.0000 0.0000  6 Sn 2.51
Sn 0.0000 0.0000 0.5000  2 Be 2.51
Sn 0.5000 0.5000 0.5000  12 Sn 3.55

## Properties
**Formation energy from the elements**: 0.29 eV/atom
**Total magnetic moment**: 0.00 μB/f.u.

***

Record 20
A geometry-optimized BeTc2B2 structure, computed with PBE.

Cell: 5.6041 5.6041 3.0437 Å, 90.00 90.00 90.00°
Closest atoms and distances in Å follow each position.
Space group P4/mbm (No. 127)
Symmetry-distinct sites (fractional):
Be 0.0000 0.0000 0.0000  4 B 2.24
Tc 0.1768 0.3232 0.5000  6 B 2.23-2.27
B 0.1170 0.6170 0.0000  1 B 1.85

## Properties
**Formation energy from the elements**: -0.50 eV/atom
**Total magnetic moment**: 0.00 μB/f.u.

***

Record 21
A geometry-optimized Fe3PdN structure, computed with PBE.

Cell: 3.8611 3.8611 3.8611 Å, 90.00 90.00 90.00°
Closest atoms and distances in Å follow each position.
Space group Pm-3m (No. 221)
Symmetry-distinct sites (fractional):
Fe 0.0000 0.0000 0.5000  2 N 1.93
Pd 0.5000 0.5000 0.5000  12 Fe 2.73
N 0.0000 0.0000 0.0000  6 Fe 1.93

## Properties
**E_form (uncorrected)**: -125 meV per atom
**Total magnetic moment**: 8.26 μB/f.u.

***

Record 22
A geometry-optimized VCoSb structure, computed with PBE.

Cell: 2.8488 2.8488 13.7822 Å, 90.00 90.00 90.00°
Closest atoms and distances in Å follow each position.
Space group I4mm (No. 107)
Symmetry-distinct sites (fractional):
V 0.0000 0.0000 0.0000  1 Co 2.06
Co 0.0000 0.0000 0.8505  1 V 2.06
Sb 0.0000 0.0000 0.6525  1 Co 2.73, 4 Sb 2.85, 4 V 2.91

## Properties
**E_form (uncorrected)**: 753 meV per atom
**Total magnetic moment**: 0.65 μB/f.u.

***

Record 23
A geometry-optimized BAs5Pb6O20 structure, computed with PBE.

Cell: 7.3022 7.3022 10.2397 Å, 90.00 90.00 90.00°
Closest atoms and distances in Å follow each position.
Space group P-4 (No. 81)
Symmetry-distinct sites (fractional):
B 0.0000 0.0000 0.0000  4 O 1.48
As 0.1949 0.1951 0.2132  4 O 1.70-1.78
As 0.5000 0.5000 0.5000  4 O 1.73
Pb 0.0000 0.5000 0.4983  2 O 2.39
Pb 0.2858 0.6876 0.1887  4 O 2.39-2.65
O 0.0024 0.2803 0.7228  1 As 1.70
O 0.0435 0.3069 0.3127  1 As 1.71
O 0.0478 0.1648 0.0765  1 B 1.48
O 0.3368 0.6324 0.8392  1 As 1.72
O 0.3417 0.6298 0.4150  1 As 1.73

## Properties
**E_form (uncorrected)**: -1387 meV per atom
**Total magnetic moment**: 0.00 μB/f.u.

***

Record 24
A geometry-optimized Co4SnN4 structure, computed with PBE.

Cell: 5.4230 5.5606 7.2782 Å, 94.98 103.53 104.65°
Closest atoms and distances in Å follow each position.
Space group P-1 (No. 2)
Symmetry-distinct sites (fractional):
Co 0.1093 0.3672 0.4353  3 N 1.80-1.84
Co 0.1685 0.4305 0.0969  4 N 1.85-1.95
Co 0.1919 0.9351 0.1062  4 N 1.85-1.91
Co 0.3858 0.7050 0.7401  3 N 1.80-1.86
Sn 0.3814 0.1963 0.7067  1 N 2.18
N 0.1707 0.1624 0.9291  3 Co 1.85-1.89
N 0.2041 0.7116 0.5006  3 Co 1.80-1.84
N 0.2052 0.6686 0.9288  4 Co 1.86-1.92
N 0.2801 0.2289 0.2897  4 Co 1.80-1.95

## Properties
**E_form (uncorrected)**: 295 meV per atom
**Total magnetic moment**: 0.00 μB/f.u.

***

no.,DOS at the Fermi energy (states/eV/cell)
1,8.70
2,3.75
3,4.31
4,0.00
5,21.09
6,5.49
7,14.77
8,8.75
9,2.86
10,15.93
11,4.72
12,1.68
13,46.25
14,0.00
15,0.88
16,36.44
17,4.51
18,17.08
19,2.74
20,0.04
21,4.75
22,5.21
23,0.00
24,10.20